Entry 1:
FeCuRh2 PBE optimized geometry; SG = R3m (160); formation enthalpy at 0 K = 0.008 eV per atom; total magnetization = 2.8 μB per formula unit
1.0
1.3443 0.7761 8.4828
-1.3443 0.7761 8.4828
0.0000 -1.5522 8.4828
Fe Cu Rh
1 1 2
direct
0.0000 0.0000 0.0000
0.1666 0.1666 0.1666
0.5853 0.5853 0.5853
0.7478 0.7478 0.7478

=====

Entry 2:
La6NpO12 PBE optimized geometry; SG = R-3 (148); energy relative to the elements, uncorrected = -3.432 eV/atom; total magnetization = 1.0 μB per formula unit
1.0
5.2414 3.0261 3.3438
-5.2414 3.0261 3.3438
0.0000 -6.0522 3.3438
La Np O
6 1 12
direct
0.1069 0.8099 0.6441
0.1901 0.3559 0.8931
0.3559 0.8931 0.1901
0.6441 0.1069 0.8099
0.8099 0.6441 0.1069
0.8931 0.1901 0.3559
0.5000 0.5000 0.5000
0.0622 0.9063 0.3229
0.0937 0.6771 0.9378
0.2049 0.4324 0.5411
0.3229 0.0622 0.9063
0.4324 0.5411 0.2049
0.4589 0.7951 0.5676
0.5411 0.2049 0.4324
0.5676 0.4589 0.7951
0.6771 0.9378 0.0937
0.7951 0.5676 0.4589
0.9063 0.3229 0.0622
0.9378 0.0937 0.6771